(1)
Density functional theory data (SCAN) for TbPO4 at its PBEsol-relaxed geometry.

Output
**E_form (uncorrected)**: -3.333 eV/atom
**Total DFT energy (no corrections)**: -17.014 eV per atom

abc: 6.264 6.771 7.895
angles: 90.00 126.05 90.00
Space group P2_1/c (No. 14)
Symmetry-distinct sites (fractional):
Tb 0.187 0.153 0.282 [4 per cell]
P 0.311 0.661 0.198 [4 per cell]
O 0.118 0.661 0.615 [4 per cell]
O 0.181 0.000 0.749 [4 per cell]
O 0.346 0.600 0.027 [4 per cell]
O 0.403 0.210 0.117 [4 per cell]



(2)
Density functional theory data (SCAN) for TbPO4 at its PBEsol-relaxed geometry.

Output
**E_form (uncorrected)**: -3.363 eV/atom
**Total DFT energy (no corrections)**: -17.044 eV per atom

abc: 6.906 6.906 6.024
angles: 90.00 90.00 90.00
Space group I4_1/amd (No. 141, origin choice 2)
Symmetry-distinct sites (fractional):
Tb 0.000 0.250 0.375 [4 per cell]
P 0.000 0.250 0.875 [4 per cell]
O 0.000 0.075 0.715 [16 per cell]



(3)
Density functional theory data (SCAN) for TbP3O9 at its PBEsol-relaxed geometry.

Output
**E_form (uncorrected)**: -2.788 eV/atom
**Total DFT energy (no corrections)**: -13.098 eV per atom

abc: 22.918 13.563 10.101
angles: 90.00 96.97 90.00
Space group C2/c (No. 15)
Symmetry-distinct sites (fractional):
Tb 0.117 0.135 0.269 [8 per cell]
Tb 0.133 0.377 0.736 [8 per cell]
P 0.000 0.046 0.750 [4 per cell]
P 0.000 0.471 0.250 [4 per cell]
P 0.041 0.318 0.447 [8 per cell]
P 0.051 0.210 0.928 [8 per cell]
P 0.192 0.037 0.565 [8 per cell]
P 0.213 0.434 0.067 [8 per cell]
P 0.245 0.294 0.288 [8 per cell]
O 0.001 0.287 0.558 [8 per cell]
O 0.003 0.398 0.127 [8 per cell]
O 0.012 0.116 0.877 [8 per cell]
O 0.052 0.235 0.355 [8 per cell]
O 0.055 0.011 0.234 [8 per cell]
O 0.057 0.474 0.766 [8 per cell]
O 0.084 0.188 0.062 [8 per cell]
O 0.085 0.249 0.820 [8 per cell]
O 0.094 0.367 0.521 [8 per cell]
O 0.143 0.090 0.485 [8 per cell]
O 0.178 0.408 0.937 [8 per cell]
O 0.179 0.031 0.174 [8 per cell]
O 0.186 0.499 0.161 [8 per cell]
O 0.188 0.248 0.314 [8 per cell]
O 0.201 0.269 0.698 [8 per cell]
O 0.224 0.022 0.958 [8 per cell]
O 0.236 0.335 0.138 [8 per cell]
O 0.245 0.111 0.620 [8 per cell]